Record 1
## TaAg2Au (PBE-GGA)

Data for TaAg2Au after structural relaxation.

Summary:
Distance to the lowest polymorph of the same formula ... 1.31 eV/f.u.
Raw total energy ... -19.159 eV/cell
Calculated density ... 13.557 g cm⁻³
Formation enthalpy at 0 K ... 0.4185 eV/atom
Magnetization ... 0.00 μB per formula unit
DOS(E_F) ... 0.7446 states/eV/atom

Structure (extended XYZ):
```
4
Lattice="5.0787 0.0000 0.0000 0.0000 5.0787 0.0000 0.0000 0.0000 2.8191" Properties=species:S:1:pos:R:3 pbc="T T T"
Ag 0.0000 0.0000 0.0000
Ta 0.0000 2.5394 1.4096
Ag 2.5394 2.5394 0.0000
Au 2.5394 0.0000 1.4096
```

---

Record 2
## InIr5 (PBE-GGA)

Data for InIr5 after structural relaxation.

Summary:
Raw total energy ... -46.407 eV/cell
Calculated density ... 19.355 g cm⁻³
Formation enthalpy at 0 K ... 0.1060 eV/atom
Magnetization ... 0.00 μB per formula unit
DOS(E_F) ... 1.1582 states/eV/atom

Structure (extended XYZ):
```
6
Lattice="1.3992 5.0863 0.0184 -1.3992 5.0863 0.0184 0.0000 1.7863 6.4913" Properties=species:S:1:pos:R:3 pbc="T T T"
Ir 0.0000 1.2578 2.5781
Ir 0.0000 5.1683 4.6619
Ir 0.0000 3.9505 2.2199
Ir 0.0000 7.5302 0.3638
In 0.0000 0.0567 0.0103
Ir 0.0000 7.9473 4.3099
```